No. 1
# LaY2AuN | the Alexandria database | PBE | relaxed
# DFT total energy: -6.79 eV/atom
data_LaY2AuN
_symmetry_space_group_name_H-M 'P 4/m m m'
_symmetry_Int_Tables_number 123
_symmetry_space_group_name_Hall '-P 4 2'
_cell_length_a 4.765
_cell_length_b 4.765
_cell_length_c 5.097
_cell_angle_alpha 90.00
_cell_angle_beta 90.00
_cell_angle_gamma 90.00
loop_
_atom_site_label
_atom_site_type_symbol
_atom_site_fract_x
_atom_site_fract_y
_atom_site_fract_z
_atom_site_occupancy
La1 La 0.000 0.000 0.000 1
Y1 Y 0.000 0.500 0.500 1
Au1 Au 0.500 0.500 0.000 1
N1 N 0.000 0.000 0.500 1

---

No. 2
# BaMoIr2 | the Alexandria database | PBE | relaxed
# ΔH_f (0 K): 0.992 eV per atom
data_BaMoIr2
_symmetry_space_group_name_H-M 'F -4 3 m'
_symmetry_Int_Tables_number 216
_symmetry_space_group_name_Hall 'F -4 2 3'
_cell_length_a 6.705
_cell_length_b 6.705
_cell_length_c 6.705
_cell_angle_alpha 90.00
_cell_angle_beta 90.00
_cell_angle_gamma 90.00
loop_
_atom_site_label
_atom_site_type_symbol
_atom_site_fract_x
_atom_site_fract_y
_atom_site_fract_z
_atom_site_occupancy
Ba1 Ba 0.000 0.000 0.000 1
Mo1 Mo 0.250 0.250 0.750 1
Ir1 Ir 0.000 0.000 0.500 1
Ir2 Ir 0.250 0.250 0.250 1

---

No. 3
# Fe2Co4Ni3 | the Alexandria database | PBE | relaxed
# ΔH_f (0 K): 0.081 eV per atom
data_Fe2Co4Ni3
_symmetry_space_group_name_H-M 'C 1 2/m 1'
_symmetry_Int_Tables_number 12
_cell_length_a 12.019
_cell_length_b 6.924
_cell_length_c 2.433
_cell_angle_alpha 90.00
_cell_angle_beta 90.02
_cell_angle_gamma 90.00
loop_
_symmetry_equiv_pos_as_xyz
'x,y,z'
'-x,-y,-z'
'-x,y,-z'
'x,-y,z'
'x+1/2,y+1/2,z'
'-x+1/2,-y+1/2,-z'
'-x+1/2,y+1/2,-z'
'x+1/2,-y+1/2,z'
loop_
_atom_site_label
_atom_site_type_symbol
_atom_site_fract_x
_atom_site_fract_y
_atom_site_fract_z
_atom_site_occupancy
Fe1 Fe 0.000 0.169 0.000 1
Co1 Co 0.167 0.334 0.998 1
Ni1 Ni 0.000 0.500 0.500 1
Ni2 Ni 0.167 0.000 0.500 1

---

No. 4
# RuPtW2N | the Alexandria database | PBE | relaxed
# DFT total energy: -9.97 eV/atom
data_RuPtW2N
_symmetry_space_group_name_H-M 'P 4/m m m'
_symmetry_Int_Tables_number 123
_symmetry_space_group_name_Hall '-P 4 2'
_cell_length_a 4.076
_cell_length_b 4.076
_cell_length_c 4.111
_cell_angle_alpha 90.00
_cell_angle_beta 90.00
_cell_angle_gamma 90.00
loop_
_atom_site_label
_atom_site_type_symbol
_atom_site_fract_x
_atom_site_fract_y
_atom_site_fract_z
_atom_site_occupancy
Ru1 Ru 0.000 0.000 0.000 1
Pt1 Pt 0.500 0.500 0.000 1
W1 W 0.000 0.500 0.500 1
N1 N 0.000 0.000 0.500 1

---

No. 5
# DyHfPt2 | the Alexandria database | PBE | relaxed
# ΔH_f (0 K): -1.094 eV per atom
data_DyHfPt2
_symmetry_space_group_name_H-M 'R -3 m'
_symmetry_Int_Tables_number 166
_symmetry_space_group_name_Hall '-R 3 2"'
_cell_length_a 4.6100
_cell_length_b 4.6100
_cell_length_c 13.5775
_cell_angle_alpha 90.00
_cell_angle_beta 90.00
_cell_angle_gamma 120.00
loop_
_atom_site_label
_atom_site_type_symbol
_atom_site_fract_x
_atom_site_fract_y
_atom_site_fract_z
_atom_site_occupancy
Dy1 Dy 0.0000 0.0000 0.0000 1
Hf1 Hf 0.0000 0.0000 0.5000 1
Pt1 Pt 0.0000 0.0000 0.2192 1

---

No. 6
# Li4AsAu | the Alexandria database | PBE | relaxed
# ΔH_f (0 K): -0.196 eV per atom
data_Li4AsAu
_symmetry_space_group_name_H-M 'F -4 3 m'
_symmetry_Int_Tables_number 216
_symmetry_space_group_name_Hall 'F -4 2 3'
_cell_length_a 7.149
_cell_length_b 7.149
_cell_length_c 7.149
_cell_angle_alpha 90.00
_cell_angle_beta 90.00
_cell_angle_gamma 90.00
loop_
_atom_site_label
_atom_site_type_symbol
_atom_site_fract_x
_atom_site_fract_y
_atom_site_fract_z
_atom_site_occupancy
Li1 Li 0.125 0.125 0.125 1
As1 As 0.250 0.250 0.750 1
Au1 Au 0.000 0.000 0.500 1